Record 1
Computed, not measured: an optimized crystal structure of TlMo4Cl at the PBE level of DFT.

Results
- E_form (uncorrected) (eV/atom) = 0.904
- total energy (eV/atom) = -7.019
- V (Å³/atom) = 18.62
- total moment (μB per atom) = 0.000

Lattice parameters (Å, degrees): 7.645 7.645 7.645 90.00 90.00 90.00
Space group F-43m (No. 216)
Unique sites:
Tl: 0.000 0.000 0.000 x4
Mo: 0.119 0.119 0.381 x16
Cl: 0.250 0.250 0.750 x4

=====

Record 2
Computed, not measured: an optimized crystal structure of Rb2CuH2F6 at the PBE level of DFT.

Results
- total energy (eV/atom) = -4.026
- V (Å³/atom) = 13.11
- total moment (μB per atom) = 0.091

Lattice parameters (Å, degrees): 5.3644 5.3644 17.3659 90.00 90.00 120.00
Space group R-3m (No. 166, hexagonal axes)
Unique sites:
Rb: 0.0000 0.0000 0.2213 x6
Cu: 0.0000 0.0000 0.0000 x3
H: 0.0000 0.0000 0.3994 x6
F: 0.0343 0.5172 0.2651 x18

=====

> Which of these has the lowest total moment?

TlMo4Cl

=====

> V of number 1 (TlMo4Cl)?

18.62 Å³/atom

=====

> Look up the total energy of the second one.

-4.026 eV/atom